# Tc2HgSb, relaxed, DFT GGA-PBE
# formation energy from raw total energies = 33 kJ/mol of atoms
# relative energy among the computed polymorphs = 0.166 eV/atom
data_Tc2HgSb
_chemical_formula_sum 'Tc6 Hg3 Sb3'
_space_group_name_H-M_alt 'R 3 m'
_space_group_IT_number 160
_space_group_name_Hall 'R 3 -2"'
_cell_length_a 3.0123
_cell_length_b 3.0123
_cell_length_c 30.4839
_cell_angle_alpha 90.00
_cell_angle_beta 90.00
_cell_angle_gamma 120.00
loop_
_atom_site_label
_atom_site_type_symbol
_atom_site_fract_x
_atom_site_fract_y
_atom_site_fract_z
Tc1 Tc 0.0000 0.0000 0.0000
Tc2 Tc 0.0000 0.0000 0.2708
Hg1 Hg 0.0000 0.0000 0.7483
Sb1 Sb 0.0000 0.0000 0.5309

***

# CaAl12, relaxed, DFT GGA-PBE
# formation enthalpy at 0 K = -0.0442 eV/atom
data_CaAl12
_chemical_formula_sum 'Ca2 Al24'
_space_group_name_H-M_alt 'I 4/m m m'
_space_group_IT_number 139
_space_group_name_Hall '-I 4 2'
_cell_length_a 9.305
_cell_length_b 9.305
_cell_length_c 5.447
_cell_angle_alpha 90.00
_cell_angle_beta 90.00
_cell_angle_gamma 90.00
loop_
_atom_site_label
_atom_site_type_symbol
_atom_site_fract_x
_atom_site_fract_y
_atom_site_fract_z
Ca1 Ca 0.000 0.000 0.000
Al1 Al 0.000 0.220 0.500
Al2 Al 0.000 0.356 0.000
Al3 Al 0.250 0.250 0.250

***

# TaTl2CuS5, relaxed, DFT GGA-PBE
# formation energy from raw total energies = -48 kJ/mol of atoms
data_TaTl2CuS5
_chemical_formula_sum 'Ta4 Tl8 Cu4 S20'
_space_group_name_H-M_alt 'C m c 21'
_space_group_IT_number 36
_cell_length_a 3.657
_cell_length_b 17.912
_cell_length_c 12.895
_cell_angle_alpha 90.00
_cell_angle_beta 90.00
_cell_angle_gamma 90.00
loop_
_space_group_symop_operation_xyz
'x,y,z'
'-x,-y,z+1/2'
'-x,y,z'
'x,-y,z+1/2'
'x+1/2,y+1/2,z'
'-x+1/2,-y+1/2,z+1/2'
'-x+1/2,y+1/2,z'
'x+1/2,-y+1/2,z+1/2'
loop_
_atom_site_label
_atom_site_type_symbol
_atom_site_fract_x
_atom_site_fract_y
_atom_site_fract_z
Ta1 Ta 0.000 0.220 0.000
Tl1 Tl 0.000 0.095 0.284
Tl2 Tl 0.000 0.108 0.635
Cu1 Cu 0.000 0.387 0.412
S1 S 0.000 0.090 0.018
S2 S 0.000 0.263 0.373
S3 S 0.000 0.263 0.636
S4 S 0.000 0.369 0.989
S5 S 0.000 0.451 0.259

***

# Ba2CdH12Rh3, relaxed, DFT GGA-PBE
# uncorrected energy = -216.90 eV/cell
data_Ba2CdH12Rh3
_chemical_formula_sum 'Ba6 Cd3 H36 Rh9'
_space_group_name_H-M_alt 'R -3 m'
_space_group_IT_number 166
_space_group_name_Hall '-R 3 2"'
_cell_length_a 6.6423
_cell_length_b 6.6423
_cell_length_c 15.0597
_cell_angle_alpha 90.00
_cell_angle_beta 90.00
_cell_angle_gamma 120.00
loop_
_atom_site_label
_atom_site_type_symbol
_atom_site_fract_x
_atom_site_fract_y
_atom_site_fract_z
Ba1 Ba 0.0000 0.0000 0.1172
Cd1 Cd 0.0000 0.0000 0.5000
H1 H 0.0080 0.5040 0.1111
H2 H 0.0666 0.5333 0.3452
Rh1 Rh 0.0000 0.5000 0.0000

***

# Cs2Na2H, relaxed, DFT GGA-PBE
# relative energy among the computed polymorphs = 0.044 eV/atom
data_Cs2Na2H
_chemical_formula_sum 'Cs4 Na4 H2'
_space_group_name_H-M_alt 'P 4/m b m'
_space_group_IT_number 127
_space_group_name_Hall '-P 4 2ab'
_cell_length_a 8.186
_cell_length_b 8.186
_cell_length_c 8.031
_cell_angle_alpha 90.00
_cell_angle_beta 90.00
_cell_angle_gamma 90.00
loop_
_atom_site_label
_atom_site_type_symbol
_atom_site_fract_x
_atom_site_fract_y
_atom_site_fract_z
Cs1 Cs 0.202 0.298 0.000
Na1 Na 0.155 0.655 0.500
H1 H 0.000 0.000 0.000

***

# Cs2Mg3NpF12, relaxed, DFT GGA-PBE
# formation energy from raw total energies = -325 kJ/mol of atoms
data_Cs2Mg3NpF12
_chemical_formula_sum 'Cs6 Mg9 Np3 F36'
_space_group_name_H-M_alt 'R -3 m'
_space_group_IT_number 166
_space_group_name_Hall '-R 3 2"'
_cell_length_a 7.4994
_cell_length_b 7.4994
_cell_length_c 19.4079
_cell_angle_alpha 90.00
_cell_angle_beta 90.00
_cell_angle_gamma 120.00
loop_
_atom_site_label
_atom_site_type_symbol
_atom_site_fract_x
_atom_site_fract_y
_atom_site_fract_z
Cs1 Cs 0.0000 0.0000 0.0991
Mg1 Mg 0.0000 0.5000 0.0000
Np1 Np 0.0000 0.0000 0.5000
F1 F 0.0473 0.5237 0.1083
F2 F 0.0792 0.5396 0.3413